# Be2GaHg

Crystalline Be2GaHg at its relaxed geometry (GGA-PBE, Alexandria via LeMat-Bulk).

Calculated values
The value obtained for the size of the total moment is 0.000 μB/cell. The offset from the most stable computed form comes out at 0.1054 eV/atom. The volume is 130.4 Å³ per cell. As for the space group: I-42d. As for the formation energy: 0.65 eV/atom.

Cell: 5.5432 5.5432 5.5432 Å, 107.15 107.15 114.23°
Fractional positions:
1 Be 0.1144 0.6250 0.9894
2 Be 0.3750 0.3644 0.4894
3 Be 0.6356 0.1250 0.0106
4 Be 0.8750 0.8856 0.5106
5 Ga 0.0000 0.0000 0.0000
6 Ga 0.7500 0.2500 0.5000
7 Hg 0.2500 0.7500 0.5000
8 Hg 0.5000 0.5000 0.0000